# 1
{
  "formula": "RbSrH3",
  "functional": "GGA-PBE",
  "state": "relaxed",
  "vol_a3_per_cell": 181.16,
  "lattice_angstrom": [[4.5034, 0.0000, 0.0000], [-2.2517, 3.9001, 0.0000], [0.0000, 0.0000, 10.3144]],
  "species": ["Rb", "Rb", "Sr", "Sr", "H", "H", "H", "H", "H", "H"],
  "fractional_positions": [[0.3333, 0.6667, 0.2500], [0.6667, 0.3333, 0.7500], [0.0000, 0.0000, 0.0000], [0.0000, 0.0000, 0.5000], [0.0000, 0.0000, 0.2500], [0.0000, 0.0000, 0.7500], [0.3333, 0.6667, 0.5536], [0.3333, 0.6667, 0.9464], [0.6667, 0.3333, 0.0536], [0.6667, 0.3333, 0.4464]]
}



# 2
{
  "formula": "CoPb2Cl",
  "functional": "GGA-PBE",
  "state": "relaxed",
  "relative_energy_mev_per_atom": 119,
  "formation_energy_uncorrected_mev_per_atom": 101,
  "vol_a3_per_cell": 97.73,
  "lattice_angstrom": [[3.5062, 0.0000, 0.0000], [0.0000, 5.2312, 0.0000], [-1.6742, 0.0000, 5.3282]],
  "species": ["Co", "Pb", "Pb", "Cl"],
  "fractional_positions": [[0.0000, 0.0000, 0.0000], [0.6862, 0.0000, 0.3848], [0.9951, 0.5000, 0.9874], [0.2782, 0.5000, 0.5281]]
}



# 3
{
  "formula": "Na2La3PrSe6",
  "functional": "GGA-PBE",
  "state": "relaxed",
  "formation_energy_uncorrected_mev_per_atom": -1800,
  "vol_a3_per_cell": 337.42,
  "lattice_angstrom": [[3.7400, -6.4712, 0.0000], [3.7400, 6.4712, 0.0000], [-2.4888, 0.0000, 6.9709]],
  "species": ["Na", "Na", "La", "La", "La", "Pr", "Se", "Se", "Se", "Se", "Se", "Se"],
  "fractional_positions": [[0.1661, 0.8339, 0.0000], [0.8339, 0.1661, 0.0000], [0.0000, 0.0000, 0.5000], [0.3312, 0.6688, 0.5000], [0.6688, 0.3312, 0.5000], [0.5000, 0.5000, 0.0000], [0.0853, 0.4172, 0.7521], [0.2527, 0.2527, 0.2517], [0.4172, 0.0853, 0.7521], [0.5828, 0.9147, 0.2479], [0.7473, 0.7473, 0.7483], [0.9147, 0.5828, 0.2479]]
}



E_tot, respectively: -28.30; -15.97; -64.70 eV for the cell shown.